No. 1
Compound: LaTh5As6
Source: Alexandria
Functional: PBE-GGA
Structure: relaxed

## Properties
Calculated formation energy (eV per formula unit): -17.2
Fermi-level density of states (states/eV per atom): 0.571

a b c (Å): 7.3984 7.3928 7.3938
angles (deg): 60.00 80.41 70.53
Element x y z (fractional)
As (0.7472, 0.0843, 0.3372)
As (0.2528, 0.5785, 0.3372)
As (0.2509, 0.2535, 0.0000)
As (0.7491, 0.7465, 0.0000)
As (0.7472, 0.4215, 0.6628)
As (0.2528, 0.9157, 0.6628)
Th (0.5000, 0.1649, 0.6702)
Th (0.0000, 0.3333, 0.3335)
Th (0.5000, 0.5000, 0.0000)
Th (0.0000, 0.6667, 0.6665)
Th (0.5000, 0.8351, 0.3298)
La (0.0000, 0.0000, 0.0000)

=====

No. 2
Compound: La3Th5As8
Source: Alexandria
Functional: PBE-GGA
Structure: relaxed

## Properties
Calculated formation energy (eV per formula unit): -23.6
Fermi-level density of states (states/eV per atom): 0.550

a b c (Å): 8.5825 8.5825 8.5923
angles (deg): 60.04 60.04 60.00
Element x y z (fractional)
La (0.5000, 0.0000, 0.5000)
La (0.0000, 0.0000, 0.5000)
La (0.0000, 0.5000, 0.5000)
Th (0.5000, 0.0000, 0.0000)
Th (0.5000, 0.5000, 0.0000)
Th (0.0000, 0.0000, 0.0000)
Th (0.0000, 0.5000, 0.0000)
Th (0.5000, 0.5000, 0.5000)
As (0.2500, 0.2500, 0.7550)
As (0.2500, 0.7450, 0.7550)
As (0.7450, 0.2500, 0.7550)
As (0.7471, 0.7471, 0.7587)
As (0.7500, 0.7500, 0.2450)
As (0.7500, 0.2550, 0.2450)
As (0.2550, 0.7500, 0.2450)
As (0.2529, 0.2529, 0.2413)

=====

No. 3
Compound: LaTh4As5
Source: Alexandria
Functional: PBE-GGA
Structure: relaxed

## Properties
Calculated formation energy (eV per formula unit): -14.4
Fermi-level density of states (states/eV per atom): 0.441

a b c (Å): 4.2673 7.4142 9.5516
angles (deg): 75.04 77.09 73.28
Element x y z (fractional)
La (0.0000, 0.0000, 0.0000)
Th (0.5984, 0.2019, 0.6012)
Th (0.2014, 0.3958, 0.2015)
Th (0.7986, 0.6042, 0.7985)
Th (0.4016, 0.7981, 0.3988)
As (0.2010, 0.9018, 0.6962)
As (0.7990, 0.0982, 0.3038)
As (0.3965, 0.3086, 0.8984)
As (0.0000, 0.5000, 0.5000)
As (0.6035, 0.6914, 0.1016)

=====

No. 4
Compound: La2Th2As5
Source: Alexandria
Functional: PBE-GGA
Structure: relaxed

## Properties
Calculated formation energy (eV per formula unit): -11.9
Fermi-level density of states (states/eV per atom): 0.453

a b c (Å): 8.0357 8.5196 8.5196
angles (deg): 124.07 90.00 90.00
Element x y z (fractional)
La (0.0000, 0.8022, 0.1978)
La (0.5000, 0.3022, 0.6978)
La (0.0000, 0.1978, 0.8022)
La (0.5000, 0.6978, 0.3022)
Th (0.3425, 0.1562, 0.1562)
Th (0.6575, 0.8438, 0.8438)
Th (0.8425, 0.3438, 0.3438)
Th (0.1575, 0.6562, 0.6562)
As (0.0000, 0.0000, 0.0000)
As (0.5000, 0.5000, 0.5000)
As (0.1498, 0.2147, 0.4814)
As (0.8502, 0.5186, 0.7853)
As (0.6498, 0.0186, 0.2853)
As (0.3502, 0.7147, 0.9814)
As (0.8502, 0.7853, 0.5186)
As (0.1498, 0.4814, 0.2147)
As (0.3502, 0.9814, 0.7147)
As (0.6498, 0.2853, 0.0186)

=====

No. 5
Compound: La5Th3As8
Source: Alexandria
Functional: PBE-GGA
Structure: relaxed

## Properties
Calculated formation energy (eV per formula unit): -24.5
Fermi-level density of states (states/eV per atom): 0.312

a b c (Å): 8.6442 8.6442 8.6549
angles (deg): 60.04 60.04 60.00
Element x y z (fractional)
La (0.5000, 0.0000, 0.0000)
La (0.5000, 0.5000, 0.0000)
La (0.0000, 0.0000, 0.0000)
La (0.0000, 0.5000, 0.0000)
La (0.5000, 0.5000, 0.5000)
Th (0.5000, 0.0000, 0.5000)
Th (0.0000, 0.0000, 0.5000)
Th (0.0000, 0.5000, 0.5000)
As (0.2500, 0.2500, 0.7433)
As (0.2500, 0.7567, 0.7433)
As (0.7567, 0.2500, 0.7433)
As (0.7529, 0.7529, 0.7414)
As (0.7500, 0.7500, 0.2567)
As (0.7500, 0.2433, 0.2567)
As (0.2433, 0.7500, 0.2567)
As (0.2471, 0.2471, 0.2586)

=====

No. 6
Compound: La2ThAs3
Source: Alexandria
Functional: PBE-GGA
Structure: relaxed

## Properties
Calculated formation energy (eV per formula unit): -9.3
Excess energy over the best structure of this formula in the dataset (kJ per mole of atoms): 0.0
Fermi-level density of states (states/eV per atom): 0.254

a b c (Å): 7.4974 7.4974 13.6989
angles (deg): 100.51 100.51 109.48
Element x y z (fractional)
La (0.9992, 0.4992, 0.9983)
La (0.4174, 0.4174, 0.8348)
La (0.8326, 0.3326, 0.6652)
La (0.2508, 0.2508, 0.5017)
La (0.7492, 0.7492, 0.4983)
La (0.6674, 0.1674, 0.3348)
La (0.5826, 0.5826, 0.1652)
La (0.5008, 0.0008, 0.0017)
Th (0.9165, 0.9165, 0.8330)
Th (0.3335, 0.8335, 0.6670)
Th (0.1665, 0.6665, 0.3330)
Th (0.0835, 0.0835, 0.1670)
As (0.1653, 0.6726, 0.8307)
As (0.6654, 0.1581, 0.8307)
As (0.0847, 0.0774, 0.6693)
As (0.5846, 0.5919, 0.6693)
As (0.0075, 0.5075, 0.5000)
As (0.4925, 0.9925, 0.5000)
As (0.4081, 0.4154, 0.3307)
As (0.9226, 0.9153, 0.3307)
As (0.8419, 0.3346, 0.1693)
As (0.3274, 0.8347, 0.1693)
As (0.2425, 0.2425, 0.0000)
As (0.7575, 0.7575, 0.0000)

=====

No. 7
Compound: LaTh2As3
Source: Alexandria
Functional: PBE-GGA
Structure: relaxed

## Properties
Calculated formation energy (eV per formula unit): -8.8
Fermi-level density of states (states/eV per atom): 0.437

a b c (Å): 4.2803 6.0560 7.4392
angles (deg): 114.02 106.72 90.00
Element x y z (fractional)
La (0.5000, 0.5000, 0.5000)
Th (0.8348, 0.8348, 0.1695)
Th (0.1652, 0.1652, 0.8305)
As (0.8291, 0.3291, 0.1583)
As (0.1709, 0.6709, 0.8417)
As (0.5000, 0.0000, 0.5000)

=====

No. 8
Compound: La5ThAs6
Source: Alexandria
Functional: PBE-GGA
Structure: relaxed

## Properties
Calculated formation energy (eV per formula unit): -18.8
Fermi-level density of states (states/eV per atom): 0.293

a b c (Å): 7.5381 7.5381 7.5389
angles (deg): 99.61 99.61 119.97
Element x y z (fractional)
As (0.4089, 0.0820, 0.2463)
As (0.9180, 0.5911, 0.7537)
As (0.2445, 0.2445, 0.7535)
As (0.7555, 0.7555, 0.2465)
As (0.0820, 0.4089, 0.2463)
As (0.5911, 0.9180, 0.7537)
Th (0.0000, 0.0000, 0.0000)
La (0.8322, 0.1678, 0.5000)
La (0.6663, 0.3337, 0.0000)
La (0.5000, 0.5000, 0.5000)
La (0.3337, 0.6663, 0.0000)
La (0.1678, 0.8322, 0.5000)